Entry 1:
Na4H6Rh | Alexandria | PBE-GGA | optimized geometry; crystal system = trigonal; E = -3.23 eV/atom
1.0
4.5654 2.6358 3.8093
-4.5654 2.6358 3.8093
0.0000 -5.2717 3.8093
Na H Rh
8 12 2
Direct
0.1300 0.7500 0.3700
0.2500 0.2500 0.2500
0.2500 0.6300 0.8700
0.3700 0.1300 0.7500
0.6300 0.8700 0.2500
0.7500 0.3700 0.1300
0.7500 0.7500 0.7500
0.8700 0.2500 0.6300
0.0487 0.9468 0.7431
0.0532 0.2569 0.9513
0.2431 0.4468 0.5487
0.2569 0.9513 0.0532
0.4468 0.5487 0.2431
0.4513 0.7569 0.5532
0.5487 0.2431 0.4468
0.5532 0.4513 0.7569
0.7431 0.0487 0.9468
0.7569 0.5532 0.4513
0.9468 0.7431 0.0487
0.9513 0.0532 0.2569
0.0000 0.0000 0.0000
0.5000 0.5000 0.5000



Entry 2:
NaH3Rh | Alexandria | PBE-GGA | optimized geometry; crystal system = monoclinic; E = -3.88 eV/atom; excess energy over the best structure of this formula in the dataset = 0.143 eV per atom
1.0
5.1146 -1.6813 0.0000
5.1146 1.6813 0.0000
-0.7867 0.0000 5.5385
Na H Rh
2 6 2
Direct
0.1185 0.1185 0.3867
0.8815 0.8815 0.6133
0.1924 0.1924 0.9360
0.3252 0.3252 0.3511
0.4559 0.4559 0.8200
0.5441 0.5441 0.1800
0.6748 0.6748 0.6489
0.8076 0.8076 0.0640
0.3737 0.3737 0.0868
0.6263 0.6263 0.9132